(1)
Tm2FeGeO6 | GGA+U | relaxed

energy = -7.48 eV/atom

a b c (Å): 5.424 5.434 5.580
angles (deg): 118.24 90.86 119.62
Space group P1 (No. 1)
Symmetry-distinct sites (fractional):
Tm 0.000 0.000 0.000
Tm 0.495 0.991 0.490
Fe 0.274 0.546 0.826
Ge 0.783 0.565 0.352
O 0.040 0.481 0.152
O 0.135 0.035 0.623
O 0.444 0.107 0.151
O 0.583 0.717 0.625
O 0.656 0.703 0.144
O 0.908 0.485 0.634



(2)
UFeGeO6 | GGA+U | relaxed

energy = -7.72 eV/atom

a b c (Å): 5.2458 5.2458 8.9156
angles (deg): 90.00 90.00 120.00
Space group P-31c (No. 163)
Symmetry-distinct sites (fractional):
U 0.3333 0.6667 0.2500
Fe 0.0000 0.0000 0.0000
Ge 0.3333 0.6667 0.7500
O 0.0295 0.3517 0.6300



(3)
V2FeGeO6 | GGA+U | relaxed

energy = -7.28 eV/atom

a b c (Å): 5.121 5.122 5.477
angles (deg): 116.79 91.56 118.88
Space group P1 (No. 1)
Symmetry-distinct sites (fractional):
V 0.000 0.000 0.000
V 0.487 0.986 0.483
Fe 0.287 0.566 0.860
Ge 0.798 0.589 0.393
O 0.068 0.481 0.206
O 0.189 0.058 0.676
O 0.423 0.133 0.209
O 0.614 0.795 0.677
O 0.707 0.780 0.199
O 0.887 0.494 0.687



(4)
ZnFeGe2O6 | GGA+U | relaxed

energy = -6.16 eV/atom

a b c (Å): 10.084 9.512 5.502
angles (deg): 90.00 108.75 90.00
Space group C2/c (No. 15)
Symmetry-distinct sites (fractional):
Zn 0.000 0.237 0.250
Fe 0.000 0.100 0.750
Ge 0.197 0.413 0.738
O 0.115 0.255 0.609
O 0.117 0.082 0.149
O 0.138 0.450 0.004



(5)
Zn2FeGeO | GGA+U | relaxed

energy = -3.38 eV/atom

a b c (Å): 4.100 4.100 4.665
angles (deg): 90.00 90.00 90.00
Space group P4/mmm (No. 123)
Symmetry-distinct sites (fractional):
Zn 0.000 0.500 0.000
Fe 0.000 0.000 0.500
Ge 0.500 0.500 0.500
O 0.500 0.500 0.000



(6)
ZrFe2GeO6 | GGA+U | relaxed

energy = -7.40 eV/atom

a b c (Å): 5.320 5.365 9.283
angles (deg): 90.00 124.22 90.00
Space group P2_1/c (No. 14)
Symmetry-distinct sites (fractional):
Zr 0.000 0.000 0.000
Fe 0.250 0.037 0.758
Ge 0.500 0.000 0.500
O 0.151 0.063 0.264
O 0.255 0.669 0.063
O 0.397 0.191 0.057



Total moment values (in μB/atom) by entry order: 0.400 0.596 0.800 0.400 0.550 0.800.